! BaAgO3 | Alexandria via LeMat-Bulk | PBE | optimized geometry; values from VASP
&SYSTEM
  ibrav = 0, nat = 10, ntyp = 3
/
ATOMIC_SPECIES
O 16.00 O.upf
Ba 137.33 Ba.upf
Ag 107.87 Ag.upf
ATOMIC_POSITIONS crystal
O 0.995 0.367 0.250
O 0.633 0.005 0.250
O 0.367 0.995 0.750
O 0.005 0.633 0.750
O 0.000 0.000 0.000
O 0.000 0.000 0.500
Ba 0.153 0.847 0.250
Ba 0.847 0.153 0.750
Ag 0.462 0.538 0.250
Ag 0.538 0.462 0.750
CELL_PARAMETERS angstrom
1.961 -7.744 0.000
1.961 7.744 0.000
0.000 0.000 5.312
! raw formation energy = -907 meV per atom
! electronic total energy = -4.8368 eV/atom
! symmetry = Cmcm, No. 63